No. 1
{"formula": "U3Sb4", "functional": "PBE", "state": "optimized geometry", "cell": [[-4.548, 4.548, 4.548], [4.548, -4.548, 4.548], [4.548, 4.548, -4.548]], "species": ["U", "U", "U", "U", "U", "U", "Sb", "Sb", "Sb", "Sb", "Sb", "Sb", "Sb", "Sb"], "frac_coords": [[0.125, 0.875, 0.250], [0.250, 0.125, 0.875], [0.375, 0.625, 0.750], [0.625, 0.750, 0.375], [0.750, 0.375, 0.625], [0.875, 0.250, 0.125], [0.000, 0.159, 0.500], [0.000, 0.659, 0.500], [0.159, 0.500, 0.000], [0.341, 0.341, 0.341], [0.500, 0.000, 0.159], [0.500, 0.000, 0.659], [0.659, 0.500, 0.000], [0.841, 0.841, 0.841]], "energy_ev_per_cell": -104.4, "e_form_raw_ev_per_atom": -0.2635, "crystal_system": "cubic"}

***

No. 2
{"formula": "PrYCoCu", "functional": "PBE", "state": "optimized geometry", "cell": [[4.262, 0.000, 0.000], [0.000, 1.940, 5.300], [0.000, -1.940, 5.300]], "species": ["Pr", "Y", "Co", "Cu"], "frac_coords": [[0.000, 0.000, 0.000], [0.500, 0.277, 0.277], [0.500, 0.574, 0.574], [0.000, 0.709, 0.709]], "energy_ev_per_cell": -23.0, "crystal_system": "orthorhombic"}